Record 1
Below is LaCdFe2 after structural relaxation, with properties calculated at the PBE level.

The structure in CIF format:
```
data_LaCdFe2
_chemical_formula_sum 'La4 Cd4 Fe8'
_cell_length_a 4.372
_cell_length_b 4.372
_cell_length_c 18.279
_cell_angle_alpha 90.00
_cell_angle_beta 90.00
_cell_angle_gamma 90.00
_symmetry_space_group_name_H-M 'I -4 2 d'
_symmetry_Int_Tables_number 122
_symmetry_space_group_name_Hall 'I -4 2bw'
loop_
_atom_site_label
_atom_site_fract_x
_atom_site_fract_y
_atom_site_fract_z
La1 0.000 0.000 0.000
Cd1 0.000 0.000 0.500
Fe1 0.173 0.250 0.125
```

DFT formation energy = 2.91 eV per formula unit

---

Record 2
Below is InMo2Rh after structural relaxation, with properties calculated at the PBE level.

The structure in CIF format:
```
data_InMo2Rh
_chemical_formula_sum 'In2 Mo4 Rh2'
_cell_length_a 3.383
_cell_length_b 4.572
_cell_length_c 8.665
_cell_angle_alpha 90.00
_cell_angle_beta 90.00
_cell_angle_gamma 90.00
_symmetry_space_group_name_H-M 'I m m 2'
_symmetry_Int_Tables_number 44
loop_
_symmetry_equiv_pos_as_xyz
'x,y,z'
'-x,-y,z'
'-x,y,z'
'x,-y,z'
'x+1/2,y+1/2,z+1/2'
'-x+1/2,-y+1/2,z+1/2'
'-x+1/2,y+1/2,z+1/2'
'x+1/2,-y+1/2,z+1/2'
loop_
_atom_site_label
_atom_site_fract_x
_atom_site_fract_y
_atom_site_fract_z
In1 0.000 0.000 0.000
Mo1 0.000 0.000 0.490
Mo2 0.000 0.500 0.772
Rh1 0.000 0.500 0.243
```

DFT formation energy = 0.60 eV per formula unit

---

Record 3
Below is TlTeCl4 after structural relaxation, with properties calculated at the PBE level.

The structure in CIF format:
```
data_TlTeCl4
_chemical_formula_sum 'Tl4 Te4 Cl16'
_cell_length_a 8.836
_cell_length_b 8.836
_cell_length_c 8.836
_cell_angle_alpha 90.00
_cell_angle_beta 90.00
_cell_angle_gamma 90.00
_symmetry_space_group_name_H-M 'F -4 3 m'
_symmetry_Int_Tables_number 216
_symmetry_space_group_name_Hall 'F -4 2 3'
loop_
_atom_site_label
_atom_site_fract_x
_atom_site_fract_y
_atom_site_fract_z
Tl1 0.000 0.000 0.000
Te1 0.250 0.250 0.250
Cl1 0.125 0.125 0.625
```

Energy above the most stable polymorph in this dataset = 0.9580 eV per atom
ΔE_f (raw) = 0.282 eV/atom

---

no.,mass density (g/cm3),total energy (eV/atom)
1,6.90,-4.963
2,10.15,-7.788
3,4.56,-1.867